KSrCa2Hg: relaxed, PBE-GGA.

Structure (POSCAR):
```
KSrCa2Hg
1.0
6.043 0.000 0.000
0.000 6.043 0.000
0.000 0.000 6.553
K Sr Ca Hg
1 1 2 1
direct
0.000 0.000 0.000
0.500 0.500 0.000
0.000 0.500 0.500
0.500 0.000 0.500
0.000 0.000 0.500
```

Total magnetic moment   0.000 μB/atom
E_tot   -7.20 eV for the cell shown
Energy relative to the elements   -24 meV/atom
Density   2.83 g/cm³
Distance to the lowest polymorph of the same formula   89 meV/atom